Material: NbCoO2
Method: DFT, GGA+U
State: optimized geometry

Unit cell a=6.687 b=6.687 c=6.687 alpha=24.93 beta=24.93 gamma=24.93
Site moments in Bohr magnetons follow the coordinates.
Fractional coordinates of all 4 atoms:
1 Nb 0.500 0.500 0.500  -0.01
2 Co 0.000 0.000 0.000  2.20
3 O 0.905 0.905 0.905  0.03
4 O 0.095 0.095 0.095  0.03

Results
Raw total energy = -7.61 eV/atom
Space group = R-3m (166)
ΔE to the lowest computed polymorph = 0.000 eV per atom